Entry 1:
# Sm2Zn4PtAu3 PBE-GGA relaxed
data_Sm2Zn4PtAu3
_chemical_formula_sum 'Sm2 Zn4 Pt1 Au3'
_symmetry_space_group_name_H-M 'P 1'
_symmetry_Int_Tables_number 1
_symmetry_space_group_name_Hall 'P 1'
_cell_length_a 4.3448
_cell_length_b 4.3448
_cell_length_c 10.6661
_cell_angle_alpha 90.00
_cell_angle_beta 90.00
_cell_angle_gamma 90.00
loop_
_atom_site_label
_atom_site_fract_x
_atom_site_fract_y
_atom_site_fract_z
_atom_site_occupancy
Sm1 0.0000 0.5000 0.2356 1
Sm2 0.5000 0.0000 0.7644 1
Zn1 0.0000 0.0000 0.5000 1
Zn2 0.0000 0.5000 0.8724 1
Zn3 0.5000 0.0000 0.1276 1
Zn4 0.5000 0.5000 0.5000 1
Pt1 0.5000 0.5000 0.0000 1
Au1 0.0000 0.0000 0.0000 1
Au2 0.0000 0.5000 0.6381 1
Au3 0.5000 0.0000 0.3619 1
# Energy (eV per atom): -3.59
# Space-group type: No. 115
# Crystal system: tetragonal
# Formation enthalpy at 0 K (kJ/mol of formula units): -532



Entry 2:
# SmZnPtAu PBE-GGA relaxed
data_SmZnPtAu
_chemical_formula_sum 'Sm1 Zn1 Pt1 Au1'
_symmetry_space_group_name_H-M 'P 1'
_symmetry_Int_Tables_number 1
_symmetry_space_group_name_Hall 'P 1'
_cell_length_a 4.8377
_cell_length_b 4.8377
_cell_length_c 4.8377
_cell_angle_alpha 60.00
_cell_angle_beta 60.00
_cell_angle_gamma 60.00
loop_
_atom_site_label
_atom_site_fract_x
_atom_site_fract_y
_atom_site_fract_z
_atom_site_occupancy
Sm1 0.0000 0.0000 0.0000 1
Zn1 0.5000 0.5000 0.5000 1
Pt1 0.2500 0.2500 0.2500 1
Au1 0.7500 0.7500 0.7500 1
# Energy (eV per atom): -4.50
# E above lowest polymorph (eV per atom): 0.0998
# Space-group type: No. 216
# Crystal system: cubic
# Formation enthalpy at 0 K (kJ/mol of formula units): -258



Entry 3:
# Sm2Zn4Pt3Au PBE-GGA relaxed
data_Sm2Zn4Pt3Au
_chemical_formula_sum 'Sm2 Zn4 Pt3 Au1'
_symmetry_space_group_name_H-M 'P 1'
_symmetry_Int_Tables_number 1
_symmetry_space_group_name_Hall 'P 1'
_cell_length_a 4.0469
_cell_length_b 4.0469
_cell_length_c 11.6948
_cell_angle_alpha 90.00
_cell_angle_beta 90.00
_cell_angle_gamma 90.00
loop_
_atom_site_label
_atom_site_fract_x
_atom_site_fract_y
_atom_site_fract_z
_atom_site_occupancy
Sm1 0.0000 0.5000 0.2384 1
Sm2 0.5000 0.0000 0.7616 1
Zn1 0.0000 0.0000 0.0000 1
Zn2 0.0000 0.5000 0.6394 1
Zn3 0.5000 0.0000 0.3606 1
Zn4 0.5000 0.5000 0.0000 1
Pt1 0.0000 0.5000 0.8557 1
Pt2 0.5000 0.0000 0.1443 1
Pt3 0.5000 0.5000 0.5000 1
Au1 0.0000 0.0000 0.5000 1
# Energy (eV per atom): -4.30
# Space-group type: No. 115
# Crystal system: tetragonal
# Formation enthalpy at 0 K (kJ/mol of formula units): -682



Entry 4:
# SmZrPtAu PBE-GGA relaxed
data_SmZrPtAu
_chemical_formula_sum 'Sm1 Zr1 Pt1 Au1'
_symmetry_space_group_name_H-M 'P 1'
_symmetry_Int_Tables_number 1
_symmetry_space_group_name_Hall 'P 1'
_cell_length_a 4.9583
_cell_length_b 4.9583
_cell_length_c 4.9583
_cell_angle_alpha 60.00
_cell_angle_beta 60.00
_cell_angle_gamma 60.00
loop_
_atom_site_label
_atom_site_fract_x
_atom_site_fract_y
_atom_site_fract_z
_atom_site_occupancy
Sm1 0.0000 0.0000 0.0000 1
Zr1 0.5000 0.5000 0.5000 1
Pt1 0.7500 0.7500 0.7500 1
Au1 0.2500 0.2500 0.2500 1
# Energy (eV per atom): -6.37
# Space-group type: No. 216
# Crystal system: cubic
# Formation enthalpy at 0 K (kJ/mol of formula units): -280



Entry 5:
# SnPtAu PBE-GGA relaxed
data_SnPtAu
_chemical_formula_sum 'Sn1 Pt1 Au1'
_symmetry_space_group_name_H-M 'P 1'
_symmetry_Int_Tables_number 1
_symmetry_space_group_name_Hall 'P 1'
_cell_length_a 4.6491
_cell_length_b 4.6491
_cell_length_c 3.0637
_cell_angle_alpha 90.00
_cell_angle_beta 90.00
_cell_angle_gamma 120.00
loop_
_atom_site_label
_atom_site_fract_x
_atom_site_fract_y
_atom_site_fract_z
_atom_site_occupancy
Sn1 0.0000 0.0000 0.0000 1
Pt1 0.6667 0.3333 0.0067 1
Au1 0.3333 0.6667 0.5044 1
# Energy (eV per atom): -4.55
# E above lowest polymorph (eV per atom): 0.1534
# Space-group type: No. 156
# Crystal system: trigonal
# Formation enthalpy at 0 K (kJ/mol of formula units): -31



Entry 6:
# SnPtAu PBE-GGA relaxed
data_SnPtAu
_chemical_formula_sum 'Sn2 Pt2 Au2'
_symmetry_space_group_name_H-M 'P 1'
_symmetry_Int_Tables_number 1
_symmetry_space_group_name_Hall 'P 1'
_cell_length_a 3.6964
_cell_length_b 3.6964
_cell_length_c 8.4327
_cell_angle_alpha 90.28
_cell_angle_beta 90.28
_cell_angle_gamma 89.57
loop_
_atom_site_label
_atom_site_fract_x
_atom_site_fract_y
_atom_site_fract_z
_atom_site_occupancy
Sn1 0.2465 0.2465 0.2728 1
Sn2 0.7535 0.7535 0.7272 1
Pt1 0.2519 0.2519 0.5977 1
Pt2 0.7481 0.7481 0.4023 1
Au1 0.2498 0.2498 0.9325 1
Au2 0.7502 0.7502 0.0675 1
# Energy (eV per atom): -4.65
# E above lowest polymorph (eV per atom): 0.0491
# Space-group type: No. 12
# Crystal system: monoclinic
# Formation enthalpy at 0 K (kJ/mol of formula units): -61



Entry 7:
# SnPt2Au PBE-GGA relaxed
data_SnPt2Au
_chemical_formula_sum 'Sn2 Pt4 Au2'
_symmetry_space_group_name_H-M 'P 1'
_symmetry_Int_Tables_number 1
_symmetry_space_group_name_Hall 'P 1'
_cell_length_a 5.9173
_cell_length_b 5.9173
_cell_length_c 5.9173
_cell_angle_alpha 102.90
_cell_angle_beta 102.90
_cell_angle_gamma 123.60
loop_
_atom_site_label
_atom_site_fract_x
_atom_site_fract_y
_atom_site_fract_z
_atom_site_occupancy
Sn1 0.0000 0.0000 0.0000 1
Sn2 0.7500 0.2500 0.5000 1
Pt1 0.1138 0.1250 0.4888 1
Pt2 0.3750 0.8862 0.0112 1
Pt3 0.6362 0.6250 0.5112 1
Pt4 0.8750 0.3638 0.9888 1
Au1 0.2500 0.7500 0.5000 1
Au2 0.5000 0.5000 0.0000 1
# Energy (eV per atom): -4.96
# Space-group type: No. 122
# Crystal system: tetragonal
# Formation enthalpy at 0 K (kJ/mol of formula units): -45



Entry 8:
# Sn12Pt3Au5 PBE-GGA relaxed
data_Sn12Pt3Au5
_chemical_formula_sum 'Sn48 Pt12 Au20'
_symmetry_space_group_name_H-M 'P 1'
_symmetry_Int_Tables_number 1
_symmetry_space_group_name_Hall 'P 1'
_cell_length_a 13.9340
_cell_length_b 13.9340
_cell_length_c 13.9340
_cell_angle_alpha 109.47
_cell_angle_beta 109.47
_cell_angle_gamma 109.47
loop_
_atom_site_label
_atom_site_fract_x
_atom_site_fract_y
_atom_site_fract_z
_atom_site_occupancy
Sn1 0.0621 0.2320 0.1327 1
Sn2 0.0621 0.3302 0.9294 1
Sn3 0.0706 0.6327 0.4007 1
Sn4 0.0706 0.9379 0.6698 1
Sn5 0.0993 0.7320 0.6698 1
Sn6 0.0993 0.8673 0.4294 1
Sn7 0.1327 0.0621 0.2320 1
Sn8 0.1327 0.5706 0.9007 1
Sn9 0.1698 0.2320 0.5993 1
Sn10 0.1698 0.4379 0.5706 1
Sn11 0.2320 0.1327 0.0621 1
Sn12 0.2320 0.5993 0.1698 1
Sn13 0.2680 0.3302 0.9007 1
Sn14 0.2680 0.4379 0.3673 1
Sn15 0.3302 0.9007 0.2680 1
Sn16 0.3302 0.9294 0.0621 1
Sn17 0.3673 0.2680 0.4379 1
Sn18 0.3673 0.5993 0.9294 1
Sn19 0.4007 0.0706 0.6327 1
Sn20 0.4007 0.8302 0.7680 1
Sn21 0.4294 0.0993 0.8673 1
Sn22 0.4294 0.8302 0.5621 1
Sn23 0.4379 0.3673 0.2680 1
Sn24 0.4379 0.5706 0.1698 1
Sn25 0.5621 0.4294 0.8302 1
Sn26 0.5621 0.6327 0.7320 1
Sn27 0.5706 0.1698 0.4379 1
Sn28 0.5706 0.9007 0.1327 1
Sn29 0.5993 0.1698 0.2320 1
Sn30 0.5993 0.9294 0.3673 1
Sn31 0.6327 0.4007 0.0706 1
Sn32 0.6327 0.7320 0.5621 1
Sn33 0.6698 0.0706 0.9379 1
Sn34 0.6698 0.0993 0.7320 1
Sn35 0.7320 0.5621 0.6327 1
Sn36 0.7320 0.6698 0.0993 1
Sn37 0.7680 0.4007 0.8302 1
Sn38 0.7680 0.8673 0.9379 1
Sn39 0.8302 0.5621 0.4294 1
Sn40 0.8302 0.7680 0.4007 1
Sn41 0.8673 0.4294 0.0993 1
Sn42 0.8673 0.9379 0.7680 1
Sn43 0.9007 0.1327 0.5706 1
Sn44 0.9007 0.2680 0.3302 1
Sn45 0.9294 0.0621 0.3302 1
Sn46 0.9294 0.3673 0.5993 1
Sn47 0.9379 0.6698 0.0706 1
Sn48 0.9379 0.7680 0.8673 1
Pt1 0.1250 0.2500 0.3750 1
Pt2 0.1250 0.3750 0.7500 1
Pt3 0.2500 0.3750 0.1250 1
Pt4 0.2500 0.8750 0.6250 1
Pt5 0.3750 0.1250 0.2500 1
Pt6 0.3750 0.7500 0.1250 1
Pt7 0.6250 0.2500 0.8750 1
Pt8 0.6250 0.8750 0.7500 1
Pt9 0.7500 0.1250 0.3750 1
Pt10 0.7500 0.6250 0.8750 1
Pt11 0.8750 0.6250 0.2500 1
Pt12 0.8750 0.7500 0.6250 1
Au1 0.0000 0.0000 0.0000 1
Au2 0.0000 0.0000 0.5000 1
Au3 0.0000 0.5000 0.0000 1
Au4 0.0000 0.5000 0.5000 1
Au5 0.1250 0.7500 0.8750 1
Au6 0.1250 0.8750 0.2500 1
Au7 0.2500 0.1250 0.8750 1
Au8 0.2500 0.6250 0.3750 1
Au9 0.3750 0.2500 0.6250 1
Au10 0.3750 0.6250 0.7500 1
Au11 0.5000 0.0000 0.0000 1
Au12 0.5000 0.0000 0.5000 1
Au13 0.5000 0.5000 0.0000 1
Au14 0.5000 0.5000 0.5000 1
Au15 0.6250 0.3750 0.2500 1
Au16 0.6250 0.7500 0.3750 1
Au17 0.7500 0.3750 0.6250 1
Au18 0.7500 0.8750 0.1250 1
Au19 0.8750 0.1250 0.7500 1
Au20 0.8750 0.2500 0.1250 1
# Energy (eV per atom): -4.30
# Space-group type: No. 230
# Crystal system: cubic
# Formation enthalpy at 0 K (kJ/mol of formula units): -334



Entry 9:
# Sn2PtAu2 PBE-GGA relaxed
data_Sn2PtAu2
_chemical_formula_sum 'Sn4 Pt2 Au4'
_symmetry_space_group_name_H-M 'P 1'
_symmetry_Int_Tables_number 1
_symmetry_space_group_name_Hall 'P 1'
_cell_length_a 7.2881
_cell_length_b 7.2881
_cell_length_c 3.9689
_cell_angle_alpha 90.00
_cell_angle_beta 90.00
_cell_angle_gamma 90.00
loop_
_atom_site_label
_atom_site_fract_x
_atom_site_fract_y
_atom_site_fract_z
_atom_site_occupancy
Sn1 0.1714 0.3286 0.0000 1
Sn2 0.3286 0.8286 0.0000 1
Sn3 0.6714 0.1714 0.0000 1
Sn4 0.8286 0.6714 0.0000 1
Pt1 0.0000 0.0000 0.5000 1
Pt2 0.5000 0.5000 0.5000 1
Au1 0.1386 0.6386 0.5000 1
Au2 0.3614 0.1386 0.5000 1
Au3 0.6386 0.8614 0.5000 1
Au4 0.8614 0.3614 0.5000 1
# Energy (eV per atom): -4.14
# Space-group type: No. 127
# Crystal system: tetragonal
# Formation enthalpy at 0 K (kJ/mol of formula units): -10



Entry 10:
# Sn5PtAu2 PBE-GGA relaxed
data_Sn5PtAu2
_chemical_formula_sum 'Sn10 Pt2 Au4'
_symmetry_space_group_name_H-M 'P 1'
_symmetry_Int_Tables_number 1
_symmetry_space_group_name_Hall 'P 1'
_cell_length_a 7.4767
_cell_length_b 7.4767
_cell_length_c 13.6598
_cell_angle_alpha 90.00
_cell_angle_beta 90.00
_cell_angle_gamma 140.27
loop_
_atom_site_label
_atom_site_fract_x
_atom_site_fract_y
_atom_site_fract_z
_atom_site_occupancy
Sn1 0.0509 0.9491 0.6225 1
Sn2 0.0509 0.9491 0.8775 1
Sn3 0.2311 0.7689 0.2500 1
Sn4 0.2869 0.7131 0.5757 1
Sn5 0.2869 0.7131 0.9243 1
Sn6 0.7131 0.2869 0.0757 1
Sn7 0.7131 0.2869 0.4243 1
Sn8 0.7689 0.2311 0.7500 1
Sn9 0.9491 0.0509 0.1225 1
Sn10 0.9491 0.0509 0.3775 1
Pt1 0.1896 0.8104 0.7500 1
Pt2 0.8104 0.1896 0.2500 1
Au1 0.1318 0.8682 0.0656 1
Au2 0.1318 0.8682 0.4344 1
Au3 0.8682 0.1318 0.5656 1
Au4 0.8682 0.1318 0.9344 1
# Energy (eV per atom): -4.17
# Space-group type: No. 63
# Crystal system: orthorhombic
# Formation enthalpy at 0 K (kJ/mol of formula units): -76



Entry 11:
# Sn4PtAu PBE-GGA relaxed
data_Sn4PtAu
_chemical_formula_sum 'Sn4 Pt1 Au1'
_symmetry_space_group_name_H-M 'P 1'
_symmetry_Int_Tables_number 1
_symmetry_space_group_name_Hall 'P 1'
_cell_length_a 4.7033
_cell_length_b 4.7033
_cell_length_c 6.7425
_cell_angle_alpha 90.00
_cell_angle_beta 90.00
_cell_angle_gamma 90.00
loop_
_atom_site_label
_atom_site_fract_x
_atom_site_fract_y
_atom_site_fract_z
_atom_site_occupancy
Sn1 0.0000 0.5000 0.2410 1
Sn2 0.0000 0.5000 0.7590 1
Sn3 0.5000 0.0000 0.2410 1
Sn4 0.5000 0.0000 0.7590 1
Pt1 0.0000 0.0000 0.0000 1
Au1 0.5000 0.5000 0.5000 1
# Energy (eV per atom): -4.51
# E above lowest polymorph (eV per atom): 0.0000
# Space-group type: No. 123
# Crystal system: tetragonal
# Formation enthalpy at 0 K (kJ/mol of formula units): -170